1.
Here is a relaxed ZrInRh3 crystal from Alexandria. Energies are from GGA-PBE.

abc: 4.7531 4.7531 4.7531
angles: 90.00 90.00 90.00
Element x y z (fractional)
Rh (0.0000, 0.5000, 0.0000)
Rh (0.0000, 0.0000, 0.5000)
Rh (0.5000, 0.0000, 0.0000)
Zr (0.5000, 0.5000, 0.5000)
In (0.0000, 0.0000, 0.0000)

The calculated formation energy is 0.778 eV per atom. As for the space group: Pm-3m, No. 221. Its crystal system is cubic. For the energy above the most stable polymorph in this dataset, the calculation gives 166 meV/atom.

***

2.
Here is a relaxed Pr12Tm6Zr crystal from Alexandria. Energies are from GGA-PBE.

abc: 9.5614 9.5614 9.5614
angles: 110.94 110.94 110.94
Element x y z (fractional)
Pr (0.3758, 0.0603, 0.5845)
Pr (0.0603, 0.5845, 0.3758)
Pr (0.5845, 0.3758, 0.0603)
Pr (0.6242, 0.9397, 0.4155)
Pr (0.9397, 0.4155, 0.6242)
Pr (0.4155, 0.6242, 0.9397)
Pr (0.1016, 0.1538, 0.7423)
Pr (0.2577, 0.8984, 0.8462)
Pr (0.8462, 0.2577, 0.8984)
Pr (0.8984, 0.8462, 0.2577)
Pr (0.7423, 0.1016, 0.1538)
Pr (0.1538, 0.7423, 0.1016)
Tm (0.2115, 0.3123, 0.4627)
Tm (0.6877, 0.5373, 0.7885)
Tm (0.5373, 0.7885, 0.6877)
Tm (0.7885, 0.6877, 0.5373)
Tm (0.3123, 0.4627, 0.2115)
Tm (0.4627, 0.2115, 0.3123)
Zr (0.0000, 0.0000, 0.0000)

The calculated formation energy is 0.042 eV per atom. As for the space group: R-3, No. 148. Its crystal system is trigonal.

***

3.
Here is a relaxed LaTb2NdTm crystal from Alexandria. Energies are from GGA-PBE.

abc: 7.2247 8.4755 7.1840
angles: 126.15 90.00 90.00
Element x y z (fractional)
La (0.2500, 0.7346, 0.4693)
La (0.7500, 0.2654, 0.5307)
Tb (0.5000, 0.3128, 0.0000)
Tb (0.0000, 0.6872, 0.0000)
Tb (0.5000, 0.6872, 0.0000)
Tb (0.0000, 0.3128, 0.0000)
Nd (0.2500, 0.9980, 0.9961)
Nd (0.7500, 0.0020, 0.0039)
Tm (0.7500, 0.7186, 0.4372)
Tm (0.2500, 0.2814, 0.5628)

The calculated formation energy is 0.364 eV per atom. As for the space group: Cmcm, No. 63. Its crystal system is orthorhombic.

***

4.
Here is a relaxed In4IrRh crystal from Alexandria. Energies are from GGA-PBE.

abc: 5.5814 5.5814 5.5814
angles: 60.00 60.00 60.00
Element x y z (fractional)
In (0.8752, 0.3749, 0.3749)
In (0.3749, 0.3749, 0.8752)
In (0.3749, 0.8752, 0.3749)
In (0.3749, 0.3749, 0.3749)
Ir (0.7500, 0.7500, 0.7500)
Rh (0.0000, 0.0000, 0.0000)

The calculated formation energy is 0.753 eV per atom. As for the space group: F-43m, No. 216. Its crystal system is cubic. For the energy above the most stable polymorph in this dataset, the calculation gives 971 meV/atom.

***

5.
Here is a relaxed AuSeBr crystal from Alexandria. Energies are from GGA-PBE.

abc: 4.1124 5.6443 9.7073
angles: 89.99 68.30 89.96
Element x y z (fractional)
Se (0.2085, 0.2260, 0.1630)
Se (0.7971, 0.7261, 0.8410)
Au (0.9227, 0.4647, 0.0217)
Au (0.0828, 0.9647, 0.9822)
Br (0.7461, 0.0640, 0.3773)
Br (0.2596, 0.5638, 0.6266)

The uncorrected formation energy comes out at -0.03 eV per atom. As for the space group: P2_1, No. 4. Its crystal system is monoclinic.

***

6.
Here is a relaxed KAl3Ge3 crystal from Alexandria. Energies are from GGA-PBE.

abc: 6.9867 6.9867 9.8122
angles: 69.14 69.14 60.00
Element x y z (fractional)
K (0.3334, 0.3334, 0.9998)
K (0.6666, 0.6666, 0.0002)
Al (0.4767, 0.8025, 0.5836)
Al (0.8025, 0.1373, 0.5836)
Al (0.1373, 0.4767, 0.5836)
Al (0.8627, 0.5233, 0.4164)
Al (0.1975, 0.8627, 0.4164)
Al (0.5233, 0.1975, 0.4164)
Ge (0.2326, 0.5772, 0.2857)
Ge (0.9045, 0.2326, 0.2857)
Ge (0.5772, 0.9045, 0.2857)
Ge (0.4228, 0.0955, 0.7143)
Ge (0.0955, 0.7674, 0.7143)
Ge (0.7674, 0.4228, 0.7143)

The calculated formation energy is -0.018 eV per atom. As for the space group: R-3, No. 148. Its crystal system is trigonal. For the energy above the most stable polymorph in this dataset, the calculation gives 0 meV/atom.

***

7.
Here is a relaxed Er2PaBi crystal from Alexandria. Energies are from GGA-PBE.

abc: 3.4920 3.4920 10.9517
angles: 80.83 80.83 60.00
Element x y z (fractional)
Pa (0.0000, 0.0000, 0.0000)
Bi (0.5000, 0.5000, 0.5000)
Er (0.2496, 0.2496, 0.2511)
Er (0.7504, 0.7504, 0.7489)

The calculated formation energy is -0.101 eV per atom. As for the space group: R-3m, No. 166. Its crystal system is trigonal. For the energy above the most stable polymorph in this dataset, the calculation gives 57 meV/atom.

***

8.
Here is a relaxed Sr2LiAlTl6 crystal from Alexandria. Energies are from GGA-PBE.

abc: 7.5706 7.7575 7.6998
angles: 52.42 69.42 94.89
Element x y z (fractional)
Sr (0.1879, 0.8142, 0.4294)
Sr (0.8121, 0.1858, 0.5706)
Li (0.5000, 0.5000, 0.0000)
Al (0.0000, 0.0000, 0.0000)
Tl (0.2952, 0.7953, 0.9525)
Tl (0.8473, 0.6566, 0.9916)
Tl (0.3486, 0.3506, 0.4825)
Tl (0.7048, 0.2047, 0.0475)
Tl (0.1527, 0.3434, 0.0084)
Tl (0.6514, 0.6494, 0.5175)

The calculated formation energy is -0.123 eV per atom. As for the space group: P-1, No. 2. Its crystal system is triclinic.

***

9.
Here is a relaxed TlH2Au2 crystal from Alexandria. Energies are from GGA-PBE.

abc: 3.8964 3.8964 5.5632
angles: 69.50 69.50 90.00
Element x y z (fractional)
H (0.7500, 0.2500, 0.5000)
H (0.2500, 0.7500, 0.5000)
Tl (0.0000, 0.0000, 0.0000)
Au (0.3315, 0.3315, 0.3369)
Au (0.6685, 0.6685, 0.6631)

As for the space group: I4/mmm, No. 139. Its crystal system is tetragonal. For the energy above the most stable polymorph in this dataset, the calculation gives 205 meV/atom.

***

10.
Here is a relaxed Pm6C2S3Cl crystal from Alexandria. Energies are from GGA-PBE.

abc: 3.8848 8.0682 8.8256
angles: 102.38 102.71 90.00
Element x y z (fractional)
Pm (0.3243, 0.8754, 0.6485)
Pm (0.6745, 0.5663, 0.3490)
Pm (0.6757, 0.1246, 0.3515)
Pm (0.0184, 0.2751, 0.0368)
Pm (0.9816, 0.7249, 0.9632)
Pm (0.3255, 0.4337, 0.6510)
C (0.8321, 0.6679, 0.6642)
C (0.1679, 0.3321, 0.3358)
S (0.5000, 0.5000, 0.0000)
S (0.8407, 0.1628, 0.6813)
S (0.1593, 0.8372, 0.3187)
Cl (0.5000, 0.0000, 0.0000)

The uncorrected formation energy comes out at -1.39 eV per atom. As for the space group: C2/m, No. 12. Its crystal system is monoclinic.

***

11.
Here is a relaxed AlRe3Sb crystal from Alexandria. Energies are from GGA-PBE.

abc: 4.8188 4.8188 4.8188
angles: 90.00 90.00 90.00
Site moments in Bohr magnetons follow the coordinates.
Element x y z (fractional)
Re (0.0000, 0.5000, 0.0000)  0.70
Re (0.0000, 0.0000, 0.5000)  0.70
Re (0.5000, 0.0000, 0.0000)  0.61
Al (0.5000, 0.5000, 0.5000)  -0.03
Sb (0.0000, 0.0000, 0.0000)  -0.03

The uncorrected formation energy comes out at 2.50 eV per atom. As for the space group: Pm-3m, No. 221. Its crystal system is cubic. For the energy above the most stable polymorph in this dataset, the calculation gives 769 meV/atom.

***

12.
Here is a relaxed V5Fe2Mo crystal from Alexandria. Energies are from GGA-PBE.

abc: 5.1051 5.1051 5.1052
angles: 109.45 109.45 109.51
Element x y z (fractional)
V (0.2779, 0.2779, 0.5000)
V (0.2779, 0.7778, 0.0000)
V (0.7779, 0.2779, 0.0000)
V (0.7779, 0.7779, 0.5000)
V (0.2779, 0.2778, 0.0000)
Fe (0.2778, 0.7779, 0.5000)
Fe (0.7779, 0.2779, 0.5000)
Mo (0.7779, 0.7779, 0.0000)

The calculated formation energy is -0.137 eV per atom. As for the space group: I4/mmm, No. 139. Its crystal system is tetragonal.

***

13.
Here is a relaxed DyZrNiIr crystal from Alexandria. Energies are from GGA-PBE.

abc: 4.7217 4.7217 4.7217
angles: 60.00 60.00 60.00
Element x y z (fractional)
Ni (0.2500, 0.2500, 0.2500)
Ir (0.7500, 0.7500, 0.7500)
Zr (0.5000, 0.5000, 0.5000)
Dy (0.0000, 0.0000, 0.0000)

The calculated formation energy is -0.578 eV per atom. As for the space group: F-43m, No. 216. Its crystal system is cubic.

***

14.
Here is a relaxed SiB2N crystal from Alexandria. Energies are from GGA-PBE.

abc: 3.6732 3.6732 3.6732
angles: 60.00 60.00 60.00
Element x y z (fractional)
Si (0.5000, 0.5000, 0.5000)
B (0.2500, 0.2500, 0.2500)
B (0.7500, 0.7500, 0.7500)
N (0.0000, 0.0000, 0.0000)

The uncorrected formation energy comes out at 2.11 eV per atom. As for the space group: Fm-3m, No. 225. Its crystal system is cubic. For the energy above the most stable polymorph in this dataset, the calculation gives 1982 meV/atom.

***

15.
Here is a relaxed Cd2CuBi crystal from Alexandria. Energies are from GGA-PBE.

abc: 3.3099 3.3099 8.1202
angles: 90.00 90.00 90.00
Element x y z (fractional)
Bi (0.5000, 0.5000, 0.5000)
Cu (0.5000, 0.5000, 0.0000)
Cd (0.0000, 0.0000, 0.8103)
Cd (0.0000, 0.0000, 0.1897)

The calculated formation energy is 0.129 eV per atom. As for the space group: P4/mmm, No. 123. Its crystal system is tetragonal.

***

16.
Here is a relaxed Pm2Pr3Dy4 crystal from Alexandria. Energies are from GGA-PBE.

abc: 6.2700 8.1003 6.2808
angles: 104.89 80.44 97.41
Element x y z (fractional)
Pm (0.6665, 0.3335, 0.3319)
Pm (0.3335, 0.6665, 0.6681)
Pr (0.8891, 0.7763, 0.4425)
Pr (0.1109, 0.2237, 0.5575)
Pr (0.0000, 0.0000, 0.0000)
Dy (0.7744, 0.5537, 0.8897)
Dy (0.2256, 0.4463, 0.1103)
Dy (0.4467, 0.8882, 0.2220)
Dy (0.5533, 0.1118, 0.7780)

The calculated formation energy is 0.018 eV per atom. As for the space group: P-1, No. 2. Its crystal system is triclinic. For the energy above the most stable polymorph in this dataset, the calculation gives 0 meV/atom.

***

17.
Here is a relaxed AcGaPtRh crystal from Alexandria. Energies are from GGA-PBE.

abc: 4.3395 4.3395 6.0465
angles: 68.97 68.97 60.00
Element x y z (fractional)
Ac (0.8155, 0.8155, 0.5535)
Ga (0.6192, 0.6192, 0.1424)
Pt (0.0160, 0.0160, 0.9521)
Rh (0.2752, 0.2752, 0.1744)

The calculated formation energy is -0.719 eV per atom. As for the space group: R3m, No. 160. Its crystal system is trigonal.

***

18.
Here is a relaxed LaIn3Te crystal from Alexandria. Energies are from GGA-PBE.

abc: 5.7264 5.7264 5.7264
angles: 90.00 90.00 90.00
Element x y z (fractional)
Te (0.0000, 0.0000, 0.0000)
In (0.0000, 0.5000, 0.0000)
In (0.0000, 0.0000, 0.5000)
In (0.5000, 0.0000, 0.0000)
La (0.5000, 0.5000, 0.5000)

The uncorrected formation energy comes out at 0.33 eV per atom. As for the space group: Pm-3m, No. 221. Its crystal system is cubic. For the energy above the most stable polymorph in this dataset, the calculation gives 0 meV/atom.

***

19.
Here is a relaxed PtBrCl2 crystal from Alexandria. Energies are from GGA-PBE.

abc: 6.0499 6.4609 10.6689
angles: 90.00 90.00 90.00
Element x y z (fractional)
Pt (0.8762, 0.9881, 0.8398)
Pt (0.3762, 0.0119, 0.1602)
Pt (0.3762, 0.5119, 0.3398)
Pt (0.8762, 0.4881, 0.6602)
Br (0.1525, 0.8337, 0.3413)
Br (0.6525, 0.1663, 0.6587)
Br (0.6525, 0.6663, 0.8413)
Br (0.1525, 0.3337, 0.1587)
Cl (0.0899, 0.2950, 0.8204)
Cl (0.5899, 0.7051, 0.1796)
Cl (0.5899, 0.2051, 0.3204)
Cl (0.0899, 0.7949, 0.6796)
Cl (0.6312, 0.1414, 0.9949)
Cl (0.1312, 0.8586, 0.0051)
Cl (0.1312, 0.3586, 0.4949)
Cl (0.6312, 0.6414, 0.5051)

The uncorrected formation energy comes out at -0.27 eV per atom. As for the space group: Pna2_1, No. 33. Its crystal system is orthorhombic. For the energy above the most stable polymorph in this dataset, the calculation gives 7 meV/atom.

***

20.
Here is a relaxed K4NaTe3O12 crystal from Alexandria. Energies are from GGA-PBE.

abc: 7.1381 7.1381 7.1381
angles: 109.47 109.47 109.47
Element x y z (fractional)
K (0.5000, 0.5000, 0.5000)
K (0.0000, 0.0000, 0.5000)
K (0.5000, 0.0000, 0.0000)
K (0.0000, 0.5000, 0.0000)
Na (0.0000, 0.0000, 0.0000)
Te (0.5000, 0.0000, 0.5000)
Te (0.5000, 0.5000, 0.0000)
Te (0.0000, 0.5000, 0.5000)
O (0.2500, 0.5000, 0.7500)
O (0.7236, 0.0000, 0.7236)
O (0.2764, 0.0000, 0.2764)
O (0.7500, 0.5000, 0.2500)
O (0.7236, 0.7236, 0.0000)
O (0.2764, 0.2764, 0.0000)
O (0.7500, 0.2500, 0.5000)
O (0.2500, 0.7500, 0.5000)
O (0.5000, 0.2500, 0.7500)
O (0.0000, 0.7236, 0.7236)
O (0.5000, 0.7500, 0.2500)
O (0.0000, 0.2764, 0.2764)

The uncorrected formation energy comes out at -1.23 eV per atom. As for the space group: Im-3m, No. 229. Its crystal system is cubic.

***

21.
Here is a relaxed PmGdSb crystal from Alexandria. Energies are from GGA-PBE.

abc: 5.1909 5.1909 5.1909
angles: 60.00 60.00 60.00
Site moments in Bohr magnetons follow the coordinates.
Element x y z (fractional)
Sb (0.2500, 0.2500, 0.2500)  -0.05
Gd (0.0000, 0.0000, 0.0000)  7.35
Pm (0.5000, 0.5000, 0.5000)  0.33

The uncorrected formation energy comes out at -0.62 eV per atom. As for the space group: F-43m, No. 216. Its crystal system is cubic. For the energy above the most stable polymorph in this dataset, the calculation gives 72 meV/atom.

***

22.
Here is a relaxed CsK2RbSn crystal from Alexandria. Energies are from GGA-PBE.

abc: 7.0356 7.0356 7.2389
angles: 90.00 90.00 90.00
Element x y z (fractional)
Cs (0.5000, 0.5000, 0.5000)
K (0.0000, 0.5000, 0.0000)
K (0.5000, 0.0000, 0.0000)
Sn (0.0000, 0.0000, 0.0000)
Rb (0.0000, 0.0000, 0.5000)

The calculated formation energy is 0.004 eV per atom. As for the space group: P4/mmm, No. 123. Its crystal system is tetragonal. For the energy above the most stable polymorph in this dataset, the calculation gives 0 meV/atom.

***

23.
Here is a relaxed Ti2AlGa6 crystal from Alexandria. Energies are from GGA-PBE.

abc: 3.9301 6.8587 7.3658
angles: 117.56 74.53 73.35
Element x y z (fractional)
Ti (0.2317, 0.7124, 0.8243)
Ti (0.7683, 0.2876, 0.1757)
Al (0.0000, 0.5000, 0.5000)
Ga (0.4253, 0.9766, 0.1728)
Ga (0.5747, 0.0234, 0.8272)
Ga (0.1568, 0.5543, 0.1321)
Ga (0.3422, 0.8242, 0.4915)
Ga (0.8432, 0.4457, 0.8679)
Ga (0.6578, 0.1758, 0.5085)

The calculated formation energy is -0.233 eV per atom. As for the space group: C2/m, No. 12. Its crystal system is monoclinic.

***

24.
Here is a relaxed TbPm4Y8 crystal from Alexandria. Energies are from GGA-PBE.

abc: 7.4048 7.4048 10.0768
angles: 90.00 111.56 120.00
Element x y z (fractional)
Tb (0.0000, 0.5000, 0.5000)
Pm (0.0000, 0.0000, 0.0000)
Pm (0.0000, 0.5000, 0.0000)
Pm (0.5000, 0.5000, 0.0000)
Pm (0.5000, 0.0000, 0.0000)
Y (0.5672, 0.7836, 0.3508)
Y (0.4328, 0.2164, 0.6492)
Y (0.5016, 0.2508, 0.3077)
Y (0.9431, 0.1939, 0.6923)
Y (0.4984, 0.7492, 0.6923)
Y (0.9431, 0.7492, 0.6923)
Y (0.0569, 0.2508, 0.3077)
Y (0.0569, 0.8061, 0.3077)

The calculated formation energy is 0.204 eV per atom. As for the space group: R-3m, No. 166. Its crystal system is trigonal.

***

no.,theoretical density (g cm⁻³)
1,8.0
2,7.3
3,7.2
4,10.2
5,5.6
6,3.0
7,11.3
8,7.8
9,13.6
10,6.5
11,10.5
12,7.5
13,11.3
14,3.0
15,9.3
16,7.5
17,11.0
18,5.4
19,5.5
20,4.5
21,7.1
22,1.9
23,6.0
24,5.6